# 1
16
Lattice="2.769 -8.593 0.000 2.769 8.593 0.000 0.000 0.000 14.445" Properties=species:S:1:pos:R:3 comment="PBE ScAg2I5, optimized geometry" formation_energy_uncorrected_mev_per_atom=-654 sg="Cmcm, No. 63" dos_ef_per_ev_atom=0.000 de_polymorph_mev_per_atom=18.9 pbc="T T T"
Sc 2.769 5.405 10.834
Sc 2.769 -5.405 3.611
Ag 2.769 5.323 0.329
Ag 2.769 5.323 6.893
Ag 2.769 -5.323 7.552
Ag 2.769 -5.323 14.116
I 2.769 7.368 8.869
I 2.769 7.368 12.798
I 2.769 3.822 3.611
I 2.769 3.046 8.727
I 2.769 3.046 12.940
I 2.769 -3.046 1.505
I 2.769 -3.046 5.717
I 2.769 -3.822 10.834
I 2.769 -7.368 1.646
I 2.769 -7.368 5.576

=====

# 2
5
Lattice="5.191 0.000 0.000 0.000 5.191 0.000 0.000 0.000 5.037" Properties=species:S:1:pos:R:3 comment="PBE SiBi2OsPd, optimized geometry" formation_energy_uncorrected_mev_per_atom=1137 sg="P4/mmm, No. 123" dos_ef_per_ev_atom=1.220 pbc="T T T"
Si 0.000 0.000 0.000
Bi 0.000 2.596 2.518
Bi 2.596 0.000 2.518
Os 2.596 2.596 2.518
Pd 2.596 2.596 0.000